An optimized crystal structure of BaLiCo2, computed with PBE.

As for the theoretical density: 5.5 g/cm3. For the energy above the most stable polymorph in this dataset, the calculation gives 584 meV/atom. The value obtained for the volume is 19.74 Å³ per atom.

a = 5.0048 Å, b = 5.0048 Å, c = 3.4827 Å
α = 90.00°, β = 90.00°, γ = 115.17°
Positions (direct):
1 Ba 0.0000 0.0000 0.0000
2 Li 0.5000 0.5000 0.0000
3 Co 0.0000 0.5000 0.5000
4 Co 0.5000 0.0000 0.5000

***

An optimized crystal structure of CsYZnO3, computed with PBE.

As for the theoretical density: 4.7 g/cm3. The value obtained for the energy relative to the elements, uncorrected is -2.2036 eV per atom. The value obtained for the volume is 19.79 Å³ per atom.

a = 8.2215 Å, b = 3.5908 Å, c = 8.5348 Å
α = 90.00°, β = 109.52°, γ = 90.00°
Positions (direct):
1 Cs 0.2144 0.2500 0.2294
2 Cs 0.7856 0.7500 0.7706
3 Y 0.3417 0.7500 0.8599
4 Y 0.6583 0.2500 0.1401
5 Zn 0.0770 0.2500 0.6175
6 Zn 0.9230 0.7500 0.3825
7 O 0.1568 0.2500 0.8570
8 O 0.1626 0.7500 0.5558
9 O 0.4780 0.7500 0.1326
10 O 0.5220 0.2500 0.8674
11 O 0.8374 0.2500 0.4442
12 O 0.8432 0.7500 0.1430

***

An optimized crystal structure of CeCdAsAu, computed with PBE.

As for the theoretical density: 9.7 g/cm3. The value obtained for the total energy is -17.08 eV per formula unit. The value obtained for the volume is 22.54 Å³ per atom.

a = 5.0332 Å, b = 5.0332 Å, c = 5.0332 Å
α = 60.00°, β = 60.00°, γ = 60.00°
Positions (direct):
1 Ce 0.0000 0.0000 0.0000
2 Cd 0.5000 0.5000 0.5000
3 As 0.7500 0.7500 0.7500
4 Au 0.2500 0.2500 0.2500

***

Q: The highest theoretical density belongs to which entry?
A: CeCdAsAu

***

Q: What is the theoretical density in the third record?
A: 9.7 g/cm3